A plane-wave DFT calculation with GGA-PBE was carried out for crystalline HgW2 at its relaxed geometry.

Results
DFT total energy: -8.04 eV per atom
formation enthalpy at 0 K: 0.70 eV per atom
ΔE to the lowest computed polymorph: 0.091 eV/atom
crystal system: tetragonal

Geometry as POSCAR:
```
HgW2
1.0
-2.122 2.122 11.689
2.122 -2.122 11.689
2.122 2.122 -11.689
Hg W
4 8
Direct
0.292 0.542 0.750 Hg
0.458 0.708 0.750 Hg
0.542 0.292 0.250 Hg
0.708 0.458 0.250 Hg
0.052 0.802 0.250 W
0.125 0.375 0.750 W
0.198 0.948 0.250 W
0.375 0.125 0.250 W
0.625 0.875 0.750 W
0.802 0.052 0.750 W
0.875 0.625 0.250 W
0.948 0.198 0.750 W
```